10
Lattice="-1.144 -3.764 -5.301 -1.643 -6.561 0.905 -6.983 -0.221 -2.398" Properties=species:S:1:pos:R:3 comment="SrGa2Hg2, relaxed, DFT PBE-GGA" crystal_system=triclinic total_energy_ev_per_atom=-1.937 spacegroup=P-1 e_form_ev_per_fu=-1.3 pbc="T T T"
Sr -3.959 -8.186 -4.630
Sr -5.811 -2.361 -2.165
Ga -2.141 -6.630 -2.123
Ga -5.153 -4.656 -4.892
Ga -7.628 -3.916 -4.671
Ga -4.617 -5.890 -1.902
Hg -2.907 -4.218 -3.553
Hg -7.566 -8.813 -5.432
Hg -2.204 -1.733 -1.363
Hg -6.863 -6.328 -3.242